Density functional theory data (GGA+U) for a relaxed Li6Fe3Co3O16 crystal.

Lattice parameters (Å, degrees): 5.7196 5.7216 9.8876 90.35 91.05 119.84
Fractional coordinates of all 28 atoms:
Li 0.0000 0.0000 0.0000
Li 0.0017 0.0109 0.5009
Li 0.3007 0.6529 0.1039
Li 0.3225 0.6649 0.4902
Li 0.6354 0.3119 0.6038
Li 0.6503 0.3220 0.9959
Fe 0.6382 0.8154 0.7826
Fe 0.8091 0.6557 0.2830
Fe 0.8102 0.1614 0.2837
Co 0.1451 0.3199 0.7841
Co 0.1452 0.8177 0.7839
Co 0.3129 0.1606 0.2839
O 0.9997 0.4950 0.6858
O 0.1422 0.8446 0.3838
O 0.1438 0.3104 0.3839
O 0.2938 0.1435 0.8814
O 0.3053 0.6500 0.8906
O 0.4480 0.9454 0.6770
O 0.4489 0.4920 0.6784
O 0.4816 0.0181 0.1801
O 0.4827 0.4682 0.1796
O 0.6418 0.3164 0.3921
O 0.6763 0.8453 0.3870
O 0.8302 0.1458 0.8843
O 0.8315 0.6801 0.8850
O 0.9367 0.4692 0.1756
O 0.9805 0.0029 0.1821
O 0.9821 0.9864 0.6837

- D(E_F): 0.501 states/eV per atom
- E_tot: -156.23 eV/cell